Computed, not measured: ReAs2Cl after structural relaxation at the PBEsol level of DFT.

Summary:
energy above the most stable polymorph in this dataset: 229.5 meV per atom
formation energy (no corrections): 296 meV/atom
ρ: 8.03 g cm⁻³
final energy: -6.092 eV/atom
calculated volume: 19.215 Å³/atom

a = 3.1026 Å, b = 3.9171 Å, c = 6.3241 Å
α = 90.00°, β = 90.01°, γ = 90.00°
With the nearest neighbours (Å) after each atom.
Fractional positions:
Re 0.3751 0.5000 0.8401  6 As 2.58-2.63, 2 Cl 2.70
As 0.8750 0.0000 0.9395  2 As 2.46, 4 Re 2.58
As 0.8752 0.5000 0.1752  2 As 2.46, 2 Re 2.63
Cl 0.3747 0.0000 0.5452  2 Re 2.70, 2 As 2.94